No. 1
! Ca2SmBr | the Alexandria database | PBE | relaxed; values from VASP
&SYSTEM
  ibrav = 0, nat = 4, ntyp = 3
/
ATOMIC_SPECIES
Ca 40.08 Ca.upf
Sm 150.36 Sm.upf
Br 79.90 Br.upf
CELL_PARAMETERS angstrom
1.906 1.101 10.509
-1.906 1.101 10.509
0.000 -2.201 10.509
ATOMIC_POSITIONS angstrom
Ca 0.000 0.000 7.524
Ca 0.000 0.000 24.001
Sm 0.000 0.000 0.000
Br 0.000 0.000 15.763
! calculated volume = 33.1 A^3/atom
! energy relative to the elements, uncorrected = -0.664 eV/atom
! offset from the most stable computed form = 0.0 meV per atom
! SG = R-3m, No. 166

---

No. 2
! Ca2SmBr | the Alexandria database | PBE | relaxed; values from VASP
&SYSTEM
  ibrav = 0, nat = 4, ntyp = 3
/
ATOMIC_SPECIES
Ca 40.08 Ca.upf
Sm 150.36 Sm.upf
Br 79.90 Br.upf
CELL_PARAMETERS angstrom
3.654 0.000 0.000
0.000 3.654 0.000
0.000 0.000 9.977
ATOMIC_POSITIONS angstrom
Ca 0.000 0.000 2.244
Ca 0.000 0.000 7.733
Sm 1.827 1.827 4.988
Br 1.827 1.827 0.000
! calculated volume = 33.3 A^3/atom
! energy relative to the elements, uncorrected = -0.577 eV/atom
! offset from the most stable computed form = 86.5 meV per atom
! SG = P4/mmm, No. 123